1.
Computed, not measured: a geometry-optimized SmZrPd2 structure at the PBE level of DFT.

Cell: 3.422 3.422 7.170 Å, 90.00 90.00 90.00°
Fractional positions:
Sm: 0.000 0.000 0.000
Zr: 0.000 0.000 0.500
Pd: 0.500 0.500 0.288
Pd: 0.500 0.500 0.712

Output
The space group is P4/mmm, No. 123. For the formation energy, the calculation gives -670 meV per atom. The spin magnetization comes out at 0.00 μB per formula unit.


2.
Computed, not measured: a geometry-optimized K3Th3CdTe8 structure at the PBE level of DFT.

Cell: 9.867 9.867 9.867 Å, 54.84 54.84 54.84°
Fractional positions:
K: 0.000 0.500 0.500
K: 0.500 0.000 0.500
K: 0.500 0.500 0.000
Th: 0.000 0.000 0.500
Th: 0.000 0.500 0.000
Th: 0.500 0.000 0.000
Cd: 0.500 0.500 0.500
Te: 0.234 0.737 0.737
Te: 0.240 0.240 0.240
Te: 0.263 0.263 0.766
Te: 0.263 0.766 0.263
Te: 0.737 0.234 0.737
Te: 0.737 0.737 0.234
Te: 0.760 0.760 0.760
Te: 0.766 0.263 0.263

Output
The space group is R-3m, No. 166. The uncorrected formation energy is -103 kJ/mol of atoms. The spin magnetization comes out at 0.00 μB per formula unit.


3.
Computed, not measured: a geometry-optimized HoAl6Cu3 structure at the PBE level of DFT.

Cell: 8.623 4.047 9.846 Å, 90.00 96.89 90.00°
Fractional positions:
Ho: 0.014 0.250 0.207
Ho: 0.986 0.750 0.793
Al: 0.098 0.750 0.458
Al: 0.195 0.250 0.949
Al: 0.215 0.250 0.680
Al: 0.359 0.250 0.214
Al: 0.411 0.750 0.576
Al: 0.494 0.750 0.092
Al: 0.506 0.250 0.908
Al: 0.589 0.250 0.424
Al: 0.641 0.750 0.786
Al: 0.785 0.750 0.320
Al: 0.805 0.750 0.051
Al: 0.902 0.250 0.542
Cu: 0.209 0.750 0.091
Cu: 0.291 0.250 0.448
Cu: 0.342 0.750 0.835
Cu: 0.658 0.250 0.165
Cu: 0.709 0.750 0.552
Cu: 0.791 0.250 0.909

Output
The space group is P2_1/m, No. 11. For the formation energy, the calculation gives -179 meV per atom. The spin magnetization comes out at 0.00 μB per formula unit.


4.
Computed, not measured: a geometry-optimized AlFe12B6 structure at the PBE level of DFT.

Cell: 6.128 6.128 6.128 Å, 109.47 109.47 109.47°
Fractional positions:
Al: 0.000 0.000 0.000
Fe: 0.111 0.813 0.298
Fe: 0.187 0.298 0.485
Fe: 0.187 0.702 0.889
Fe: 0.298 0.111 0.813
Fe: 0.298 0.485 0.187
Fe: 0.485 0.187 0.298
Fe: 0.515 0.813 0.702
Fe: 0.702 0.515 0.813
Fe: 0.702 0.889 0.187
Fe: 0.813 0.298 0.111
Fe: 0.813 0.702 0.515
Fe: 0.889 0.187 0.702
B: 0.121 0.621 0.500
B: 0.379 0.500 0.879
B: 0.500 0.121 0.621
B: 0.500 0.879 0.379
B: 0.621 0.500 0.121
B: 0.879 0.379 0.500

Output
The space group is Im-3, No. 204. For the formation energy, the calculation gives -212 meV per atom. The spin magnetization comes out at 17.83 μB per formula unit.